# 1
Density functional theory data (PBE) for an optimized crystal structure of NbV14Mo.

Energy relative to the elements in eV per atom: 0.00

a = 5.2442 Å, b = 5.2442 Å, c = 8.5963 Å
α = 90.00°, β = 90.00°, γ = 108.97°
Last column: nearest neighbours and their distance in Å.
Positions (direct):
Nb: 0.0000 0.0000 0.0000  8 V 2.62-2.71
V: 0.0000 0.0000 0.5000  8 V 2.59-2.62
V: 0.0000 0.5000 0.0000  2 Nb 2.62, 2 Mo 2.62, 4 V 2.71
V: 0.0000 0.5000 0.5000  8 V 2.56-2.62
V: 0.2489 0.7511 0.2601  8 V 2.56-2.71
V: 0.2489 0.7511 0.7399  8 V 2.56-2.71
V: 0.2542 0.2542 0.2585  6 V 2.56-2.63, 1 Mo 2.68, 1 Nb 2.71
V: 0.2542 0.2542 0.7415  6 V 2.56-2.63, 1 Mo 2.68, 1 Nb 2.71
V: 0.5000 0.0000 0.0000  2 Nb 2.62, 2 Mo 2.62, 4 V 2.71
V: 0.5000 0.0000 0.5000  8 V 2.56-2.62
V: 0.5000 0.5000 0.5000  8 V 2.56-2.62
V: 0.7458 0.7458 0.2585  6 V 2.56-2.63, 1 Mo 2.68, 1 Nb 2.71
V: 0.7458 0.7458 0.7415  6 V 2.56-2.63, 1 Mo 2.68, 1 Nb 2.71
V: 0.7511 0.2489 0.2601  8 V 2.56-2.71
V: 0.7511 0.2489 0.7399  8 V 2.56-2.71
Mo: 0.5000 0.5000 0.0000  8 V 2.62-2.68

=====

# 2
Density functional theory data (PBE) for an optimized crystal structure of NbV4Mo2.

Energy relative to the elements in eV per atom: 1.27
Relative energy among the computed polymorphs in meV/atom: 1158

a = 4.5319 Å, b = 4.5319 Å, c = 12.4390 Å
α = 90.00°, β = 90.00°, γ = 90.00°
Last column: nearest neighbours and their distance in Å.
Positions (direct):
Nb: 0.0000 0.0000 0.0000  6 V 2.27-2.49
Nb: 0.5000 0.5000 0.5000  6 V 2.27-2.49
V: 0.0000 0.0000 0.1998  1 Mo 2.18
V: 0.0000 0.0000 0.8002  1 Mo 2.18
V: 0.0000 0.5000 0.0000  2 Nb 2.27
V: 0.0000 0.5000 0.5000  2 Nb 2.27
V: 0.5000 0.0000 0.0000  2 Nb 2.27
V: 0.5000 0.0000 0.5000  2 Nb 2.27
V: 0.5000 0.5000 0.3002  1 Mo 2.18
V: 0.5000 0.5000 0.6998  1 Mo 2.18
Mo: 0.0000 0.0000 0.3753  1 V 2.18
Mo: 0.0000 0.0000 0.6247  1 V 2.18
Mo: 0.5000 0.5000 0.1247  1 V 2.18
Mo: 0.5000 0.5000 0.8753  1 V 2.18

=====

# 3
Density functional theory data (PBE) for an optimized crystal structure of NbVMo6.

Energy relative to the elements in eV per atom: -0.10
Relative energy among the computed polymorphs in meV/atom: 0

a = 4.4709 Å, b = 6.3279 Å, c = 8.9526 Å
α = 90.00°, β = 90.00°, γ = 90.00°
Last column: nearest neighbours and their distance in Å.
Positions (direct):
Nb: 0.0000 0.0000 0.0000  8 Mo 2.72-2.76
Nb: 0.0000 0.5000 0.5000  8 Mo 2.72-2.76
V: 0.5000 0.0000 0.2484  8 Mo 2.73-2.75
V: 0.5000 0.5000 0.7484  8 Mo 2.73-2.75
Mo: 0.0000 0.0000 0.4962  8 Mo 2.72-2.76
Mo: 0.0000 0.2481 0.2485  4 Mo 2.72-2.76, 2 Nb 2.72-2.76, 2 V 2.73
Mo: 0.0000 0.2519 0.7485  4 Mo 2.72-2.76, 2 Nb 2.72-2.76, 2 V 2.73
Mo: 0.0000 0.5000 0.9962  8 Mo 2.72-2.76
Mo: 0.0000 0.7481 0.7485  4 Mo 2.72-2.76, 2 Nb 2.72-2.76, 2 V 2.73
Mo: 0.0000 0.7519 0.2485  4 Mo 2.72-2.76, 2 Nb 2.72-2.76, 2 V 2.73
Mo: 0.5000 0.0000 0.7480  8 Mo 2.73-2.75
Mo: 0.5000 0.2471 0.4980  2 V 2.73-2.75, 4 Mo 2.73-2.75, 2 Nb 2.75
Mo: 0.5000 0.2529 0.9980  2 V 2.73-2.75, 4 Mo 2.73-2.75, 2 Nb 2.75
Mo: 0.5000 0.5000 0.2480  8 Mo 2.73-2.75
Mo: 0.5000 0.7471 0.9980  2 V 2.73-2.75, 4 Mo 2.73-2.75, 2 Nb 2.75
Mo: 0.5000 0.7529 0.4980  2 V 2.73-2.75, 4 Mo 2.73-2.75, 2 Nb 2.75

=====

Computed V, in the same sequence as the records: 13.97 18.25 15.83 A^3/atom.